[1]
A relaxed structure of ScAlAu2, computed with PBE.

Results
- M_tot (μB/f.u.) = 0.0
- ΔE_f (meV/atom) = -562
- volume (A^3/atom) = 19.3
- space group = Pm

```
ScAlAu2
1.0
3.194 0.000 0.000
0.000 4.654 0.000
-0.010 0.000 5.200
Sc Al Au
1 1 2
direct
0.000 0.000 0.000 Sc
0.500 0.500 0.700 Al
0.499 0.000 0.504 Au
0.501 0.500 0.186 Au
```

---

[2]
A relaxed structure of ScAl2Au, computed with PBE.

Results
- M_tot (μB/f.u.) = 0.0
- ΔE_f (meV/atom) = -191
- volume (A^3/atom) = 19.9
- space group = I-42d

```
ScAl2Au
1.0
-2.009 2.009 9.884
2.009 -2.009 9.884
2.009 2.009 -9.884
Sc Al Au
2 4 2
direct
0.000 0.000 0.000 Sc
0.750 0.250 0.500 Sc
0.131 0.625 0.006 Al
0.375 0.381 0.506 Al
0.619 0.125 0.994 Al
0.875 0.869 0.494 Al
0.250 0.750 0.500 Au
0.500 0.500 0.000 Au
```

---

[3]
A relaxed structure of Sc2AlAu, computed with PBE.

Results
- M_tot (μB/f.u.) = 1.9
- ΔE_f (meV/atom) = -309
- volume (A^3/atom) = 19.1
- space group = F-43m

```
Sc2AlAu
1.0
0.000 3.365 3.365
3.365 0.000 3.365
3.365 3.365 0.000
Sc Al Au
2 1 1
direct
0.000 0.000 0.000 Sc
0.250 0.250 0.250 Sc
0.500 0.500 0.500 Al
0.750 0.750 0.750 Au
```

---

[4]
A relaxed structure of ScAlAu3, computed with PBE.

Results
- offset from the most stable computed form (eV/atom) = 1.0624
- M_tot (μB/f.u.) = 0.0
- ΔE_f (meV/atom) = 446
- volume (A^3/atom) = 27.6
- space group = Pm-3m

```
ScAlAu3
1.0
5.165 0.000 0.000
0.000 5.165 0.000
0.000 0.000 5.165
Sc Al Au
1 1 3
direct
0.000 0.000 0.000 Sc
0.500 0.500 0.500 Al
0.000 0.000 0.500 Au
0.000 0.500 0.000 Au
0.500 0.000 0.000 Au
```

---

[5]
A relaxed structure of Sc4Al12Au, computed with PBE.

Results
- M_tot (μB/f.u.) = 0.0
- ΔE_f (meV/atom) = -427
- volume (A^3/atom) = 17.8
- space group = Im-3m

```
Sc4Al12Au
1.0
-4.232 4.232 4.232
4.232 -4.232 4.232
4.232 4.232 -4.232
Sc Al Au
4 12 1
direct
0.000 0.000 0.500 Sc
0.000 0.500 0.000 Sc
0.500 0.000 0.000 Sc
0.500 0.500 0.500 Sc
0.000 0.299 0.299 Al
0.000 0.701 0.701 Al
0.250 0.500 0.750 Al
0.250 0.750 0.500 Al
0.299 0.000 0.299 Al
0.299 0.299 0.000 Al
0.500 0.250 0.750 Al
0.500 0.750 0.250 Al
0.701 0.000 0.701 Al
0.701 0.701 0.000 Al
0.750 0.250 0.500 Al
0.750 0.500 0.250 Al
0.000 0.000 0.000 Au
```

---

[6]
A relaxed structure of ScAl2Au3, computed with PBE.

Results
- M_tot (μB/f.u.) = 0.0
- ΔE_f (meV/atom) = -577
- volume (A^3/atom) = 18.0
- space group = P6_3/mmc

```
ScAl2Au3
1.0
4.437 0.000 0.000
-2.218 3.842 0.000
0.000 0.000 12.640
Sc Al Au
2 4 6
direct
0.000 0.000 0.250 Sc
0.000 0.000 0.750 Sc
0.333 0.667 0.085 Al
0.333 0.667 0.415 Al
0.667 0.333 0.585 Al
0.667 0.333 0.915 Al
0.000 0.000 0.000 Au
0.000 0.000 0.500 Au
0.333 0.667 0.637 Au
0.333 0.667 0.863 Au
0.667 0.333 0.137 Au
0.667 0.333 0.363 Au
```

---

[7]
A relaxed structure of ScAl2Au, computed with PBE.

Results
- M_tot (μB/f.u.) = 0.0
- ΔE_f (meV/atom) = -574
- volume (A^3/atom) = 18.3
- space group = Pnma

```
ScAl2Au
1.0
15.798 0.000 0.000
0.000 6.805 0.000
0.000 0.000 5.454
Sc Al Au
8 16 8
direct
0.111 0.250 0.225 Sc
0.145 0.750 0.471 Sc
0.355 0.250 0.971 Sc
0.389 0.750 0.725 Sc
0.611 0.250 0.275 Sc
0.645 0.750 0.029 Sc
0.855 0.250 0.529 Sc
0.889 0.750 0.775 Sc
0.027 0.048 0.722 Al
0.027 0.452 0.722 Al
0.220 0.552 0.956 Al
0.220 0.948 0.956 Al
0.280 0.052 0.456 Al
0.280 0.448 0.456 Al
0.473 0.548 0.222 Al
0.473 0.952 0.222 Al
0.527 0.048 0.778 Al
0.527 0.452 0.778 Al
0.720 0.552 0.544 Al
0.720 0.948 0.544 Al
0.780 0.052 0.044 Al
0.780 0.448 0.044 Al
0.973 0.548 0.278 Al
0.973 0.952 0.278 Al
0.075 0.750 0.987 Au
0.168 0.250 0.716 Au
0.332 0.750 0.216 Au
0.425 0.250 0.487 Au
0.575 0.750 0.513 Au
0.668 0.250 0.784 Au
0.832 0.750 0.284 Au
0.925 0.250 0.013 Au
```

---

[8]
A relaxed structure of ScAlAu2, computed with PBE.

Results
- M_tot (μB/f.u.) = 0.0
- ΔE_f (meV/atom) = -556
- volume (A^3/atom) = 18.6
- space group = Cm

```
ScAlAu2
1.0
4.608 -1.766 0.000
4.608 1.766 0.000
-1.221 0.000 4.580
Sc Al Au
1 1 2
direct
0.000 0.000 0.000 Sc
0.764 0.764 0.354 Al
0.257 0.257 0.807 Au
0.496 0.496 0.479 Au
```

---

[9]
A relaxed structure of ScAl2Au, computed with PBE.

Results
- M_tot (μB/f.u.) = 0.0
- ΔE_f (meV/atom) = -484
- volume (A^3/atom) = 18.9
- space group = Pmmm

```
ScAl2Au
1.0
3.189 0.000 0.000
0.000 4.407 0.000
0.000 0.000 5.366
Sc Al Au
1 2 1
direct
0.000 0.000 0.000 Sc
0.500 0.500 0.244 Al
0.500 0.500 0.756 Al
0.500 0.000 0.500 Au
```

---

[10]
A relaxed structure of Sc8AlAu2, computed with PBE.

Results
- M_tot (μB/f.u.) = 3.1
- ΔE_f (meV/atom) = -336
- volume (A^3/atom) = 21.9
- space group = Immm

```
Sc8AlAu2
1.0
-2.300 3.719 7.047
2.300 -3.719 7.047
2.300 3.719 -7.047
Sc Al Au
8 1 2
direct
0.122 0.340 0.782 Sc
0.143 0.143 0.000 Sc
0.301 0.000 0.301 Sc
0.442 0.660 0.782 Sc
0.558 0.340 0.218 Sc
0.699 0.000 0.699 Sc
0.857 0.857 0.000 Sc
0.878 0.660 0.218 Sc
0.000 0.500 0.500 Al
0.302 0.802 0.500 Au
0.698 0.198 0.500 Au
```

---

[11]
A relaxed structure of Sc6AlAu5, computed with PBE.

Results
- M_tot (μB/f.u.) = 0.0
- ΔE_f (meV/atom) = -748
- volume (A^3/atom) = 19.7
- space group = P2/m

```
Sc6AlAu5
1.0
4.752 0.000 0.000
0.000 6.870 0.000
-2.354 0.000 7.257
Sc Al Au
6 1 5
direct
0.000 0.238 0.000 Sc
0.000 0.762 0.000 Sc
0.332 0.254 0.664 Sc
0.332 0.746 0.664 Sc
0.668 0.254 0.336 Sc
0.668 0.746 0.336 Sc
0.500 0.500 0.000 Al
0.147 0.500 0.294 Au
0.173 0.000 0.345 Au
0.500 0.000 0.000 Au
0.827 0.000 0.655 Au
0.853 0.500 0.706 Au
```

---

[12]
A relaxed structure of Sc3Al4Au2, computed with PBE.

Results
- M_tot (μB/f.u.) = 0.0
- ΔE_f (meV/atom) = -637
- volume (A^3/atom) = 18.6
- space group = C2/m

```
Sc3Al4Au2
1.0
5.050 -2.244 0.000
5.050 2.244 0.000
-3.911 0.000 7.393
Sc Al Au
3 4 2
direct
0.000 0.000 0.000 Sc
0.336 0.336 0.332 Sc
0.664 0.664 0.668 Sc
0.050 0.050 0.381 Al
0.270 0.270 0.935 Al
0.730 0.730 0.065 Al
0.950 0.950 0.619 Al
0.387 0.387 0.720 Au
0.613 0.613 0.280 Au
```

---

[13]
A relaxed structure of ScAl3Au4, computed with PBE.

Results
- M_tot (μB/f.u.) = 0.0
- ΔE_f (meV/atom) = -495
- volume (A^3/atom) = 17.5
- space group = C2/m

```
ScAl3Au4
1.0
3.862 -2.229 0.000
3.862 2.229 0.000
-2.531 0.000 8.127
Sc Al Au
1 3 4
direct
0.000 0.000 0.000 Sc
0.257 0.257 0.769 Al
0.500 0.500 0.500 Al
0.743 0.743 0.231 Al
0.128 0.128 0.384 Au
0.388 0.388 0.166 Au
0.612 0.612 0.834 Au
0.872 0.872 0.616 Au
```

---

[14]
A relaxed structure of ScAl4Au, computed with PBE.

Results
- M_tot (μB/f.u.) = 0.0
- ΔE_f (meV/atom) = -141
- volume (A^3/atom) = 18.0
- space group = F-43m

```
ScAl4Au
1.0
0.000 3.779 3.779
3.779 0.000 3.779
3.779 3.779 0.000
Sc Al Au
1 4 1
direct
0.000 0.000 0.000 Sc
0.122 0.626 0.626 Al
0.626 0.122 0.626 Al
0.626 0.626 0.122 Al
0.626 0.626 0.626 Al
0.250 0.250 0.250 Au
```

---

[15]
A relaxed structure of Sc2AlAu, computed with PBE.

Results
- M_tot (μB/f.u.) = 0.8
- ΔE_f (meV/atom) = -27
- volume (A^3/atom) = 24.1
- space group = Immm

```
Sc2AlAu
1.0
-1.775 1.788 7.578
1.775 -1.788 7.578
1.775 1.788 -7.578
Sc Al Au
2 1 1
direct
0.183 0.183 0.000 Sc
0.817 0.817 0.000 Sc
0.500 0.500 0.000 Al
0.000 0.000 0.000 Au
```

---

[16]
A relaxed structure of ScAl2Au, computed with PBE.

Results
- M_tot (μB/f.u.) = 0.0
- ΔE_f (meV/atom) = -571
- volume (A^3/atom) = 17.5
- space group = P4/mmm

```
ScAl2Au
1.0
4.136 0.000 0.000
0.000 4.136 0.000
0.000 0.000 4.095
Sc Al Au
1 2 1
direct
0.000 0.000 0.000 Sc
0.000 0.500 0.500 Al
0.500 0.000 0.500 Al
0.500 0.500 0.000 Au
```

---

[17]
A relaxed structure of ScAl3Au, computed with PBE.

Results
- offset from the most stable computed form (eV/atom) = 0.0000
- M_tot (μB/f.u.) = 0.0
- ΔE_f (meV/atom) = 216
- volume (A^3/atom) = 22.8
- space group = Pm-3m

```
ScAl3Au
1.0
4.845 0.000 0.000
0.000 4.845 0.000
0.000 0.000 4.845
Sc Al Au
1 3 1
direct
0.000 0.000 0.000 Sc
0.000 0.500 0.500 Al
0.500 0.000 0.500 Al
0.500 0.500 0.000 Al
0.500 0.500 0.500 Au
```

---

[18]
A relaxed structure of ScAl2Au, computed with PBE.

Results
- M_tot (μB/f.u.) = 0.0
- ΔE_f (meV/atom) = -340
- volume (A^3/atom) = 17.5
- space group = Fm-3m

```
ScAl2Au
1.0
0.000 3.273 3.273
3.273 0.000 3.273
3.273 3.273 0.000
Sc Al Au
1 2 1
direct
0.000 0.000 0.000 Sc
0.250 0.250 0.250 Al
0.750 0.750 0.750 Al
0.500 0.500 0.500 Au
```

---

[19]
A relaxed structure of Sc3Al7Au4, computed with PBE.

Results
- M_tot (μB/f.u.) = 0.0
- ΔE_f (meV/atom) = -607
- volume (A^3/atom) = 18.1
- space group = C2/m

```
Sc3Al7Au4
1.0
7.825 -2.110 0.000
7.825 2.110 0.000
-5.746 0.000 7.661
Sc Al Au
3 7 4
direct
0.000 0.000 0.000 Sc
0.309 0.309 0.309 Sc
0.691 0.691 0.691 Sc
0.000 0.000 0.500 Al
0.154 0.154 0.429 Al
0.324 0.324 0.969 Al
0.495 0.495 0.692 Al
0.505 0.505 0.308 Al
0.676 0.676 0.031 Al
0.846 0.846 0.571 Al
0.123 0.123 0.845 Au
0.347 0.347 0.732 Au
0.653 0.653 0.268 Au
0.877 0.877 0.155 Au
```

---

[20]
A relaxed structure of ScAl2Au8, computed with PBE.

Results
- offset from the most stable computed form (eV/atom) = 0.0000
- M_tot (μB/f.u.) = 0.0
- ΔE_f (meV/atom) = -379
- volume (A^3/atom) = 17.7
- space group = C2/m

```
ScAl2Au8
1.0
7.451 -1.996 0.000
7.451 1.996 0.000
-1.968 0.000 6.532
Sc Al Au
1 2 8
direct
0.000 0.000 0.000 Sc
0.277 0.277 0.333 Al
0.723 0.723 0.667 Al
0.117 0.117 0.462 Au
0.178 0.178 0.905 Au
0.358 0.358 0.813 Au
0.462 0.462 0.280 Au
0.538 0.538 0.720 Au
0.642 0.642 0.187 Au
0.822 0.822 0.095 Au
0.883 0.883 0.538 Au
```